A plane-wave DFT calculation with GGA-PBE was carried out for an optimized crystal structure of WSe2Br.

Cell: 6.716 6.716 6.716 Å, 153.21 132.96 54.96°
Element x y z (fractional)
W1 0.000 0.000 0.000
Se1 0.165 0.665 0.500
Se2 0.835 0.335 0.500
Br1 0.500 0.500 0.000

Calculated values
E_tot = -20.6 eV/cell
D(E_F) = 2.92 states/eV/cell
ΔE_f (raw) = 0.24 eV/atom
Polymorph energy (0 for the lowest one) = 0.581 eV per atom